1.
Here is BaNpMnS4 after structural relaxation from Alexandria via LeMat-Bulk. Energies are from GGA-PBE. Values from VASP.

Cell and atoms, written as Quantum ESPRESSO input:
```
&SYSTEM
  ibrav = 0, nat = 14, ntyp = 4
/
ATOMIC_SPECIES
Ba 137.33 Ba.upf
Np 237.00 Np.upf
Mn 54.94 Mn.upf
S 32.06 S.upf
CELL_PARAMETERS angstrom
6.543 0.000 0.000
0.000 6.401 0.000
-2.660 0.000 8.149
ATOMIC_POSITIONS crystal
Ba 0.242 0.250 0.439
Ba 0.758 0.750 0.561
Np 0.274 0.250 0.947
Np 0.726 0.750 0.053
Mn 0.270 0.750 0.176
Mn 0.730 0.250 0.824
S 0.056 0.750 0.915
S 0.071 0.750 0.351
S 0.483 0.511 0.783
S 0.483 0.989 0.783
S 0.517 0.011 0.217
S 0.517 0.489 0.217
S 0.929 0.250 0.649
S 0.944 0.250 0.085
```

Values from the calculation:
D(E_F) = 1.1266 states/eV per atom
Electronic total energy = -7.1091 eV per atom
Calculated volume = 24.4 A^3/atom
Space group = P2_1/m

2.
Here is RbBiIrO6 after structural relaxation from Alexandria via LeMat-Bulk. Energies are from GGA-PBE. Values from VASP.

Cell and atoms, written as Quantum ESPRESSO input:
```
&SYSTEM
  ibrav = 0, nat = 9, ntyp = 4
/
ATOMIC_SPECIES
Rb 85.47 Rb.upf
Bi 208.98 Bi.upf
Ir 192.22 Ir.upf
O 16.00 O.upf
CELL_PARAMETERS angstrom
5.583 0.000 0.000
-2.792 4.835 0.000
0.000 0.000 6.281
ATOMIC_POSITIONS crystal
Rb 0.000 0.000 0.000
Bi 0.667 0.333 0.500
Ir 0.333 0.667 0.500
O 0.040 0.398 0.323
O 0.040 0.642 0.677
O 0.358 0.398 0.677
O 0.358 0.960 0.323
O 0.602 0.642 0.323
O 0.602 0.960 0.677
```

Values from the calculation:
D(E_F) = 0.5776 states/eV per atom
Electronic total energy = -5.7490 eV per atom
Calculated volume = 18.8 A^3/atom
Space group = P312

3.
Here is CsTl2PdBr5 after structural relaxation from Alexandria via LeMat-Bulk. Energies are from GGA-PBE. Values from VASP.

Cell and atoms, written as Quantum ESPRESSO input:
```
&SYSTEM
  ibrav = 0, nat = 18, ntyp = 4
/
ATOMIC_SPECIES
Cs 132.91 Cs.upf
Tl 204.38 Tl.upf
Pd 106.42 Pd.upf
Br 79.90 Br.upf
CELL_PARAMETERS angstrom
-4.495 4.495 8.067
4.495 -4.495 8.067
4.495 4.495 -8.067
ATOMIC_POSITIONS crystal
Cs 0.250 0.250 0.000
Cs 0.750 0.750 0.000
Tl 0.164 0.664 0.827
Tl 0.336 0.164 0.500
Tl 0.664 0.836 0.500
Tl 0.836 0.336 0.173
Pd 0.250 0.750 0.500
Pd 0.750 0.250 0.500
Br 0.000 0.000 0.000
Br 0.002 0.219 0.500
Br 0.219 0.719 0.217
Br 0.281 0.498 0.500
Br 0.498 0.998 0.217
Br 0.500 0.500 0.000
Br 0.502 0.002 0.783
Br 0.719 0.502 0.500
Br 0.781 0.281 0.783
Br 0.998 0.781 0.500
```

Values from the calculation:
D(E_F) = 0.1254 states/eV per atom
Electronic total energy = -2.9138 eV per atom
Calculated volume = 36.2 A^3/atom
Space group = I4/mcm

4.
Here is Er3Mg2Hg3 after structural relaxation from Alexandria via LeMat-Bulk. Energies are from GGA-PBE. Values from VASP.

Cell and atoms, written as Quantum ESPRESSO input:
```
&SYSTEM
  ibrav = 0, nat = 8, ntyp = 3
/
ATOMIC_SPECIES
Er 167.26 Er.upf
Mg 24.30 Mg.upf
Hg 200.59 Hg.upf
CELL_PARAMETERS angstrom
-1.827 2.603 10.420
1.827 -2.603 10.420
1.827 2.603 -10.420
ATOMIC_POSITIONS crystal
Er 0.000 0.000 0.000
Er 0.376 0.876 0.500
Er 0.624 0.124 0.500
Mg 0.239 0.239 0.000
Mg 0.761 0.761 0.000
Hg 0.126 0.626 0.500
Hg 0.500 0.500 0.000
Hg 0.874 0.374 0.500
```

Values from the calculation:
D(E_F) = 0.7197 states/eV per atom
Electronic total energy = -2.5506 eV per atom
Calculated volume = 24.8 A^3/atom
Space group = Immm